The following is a DFT calculation (GGA-PBE) of a relaxed structure of ZnCdTe2.

a b c (Å): 4.434 4.434 7.428
angles (deg): 90.00 90.00 120.00
Atoms (fractional coordinates):
Te 0.333 0.667 0.824
Te 0.667 0.333 0.271
Cd 0.333 0.667 0.432
Zn 0.000 0.000 0.928

Values from the calculation:
As for the crystal system: trigonal. The density of states at the Fermi level comes out at 0.000 states/eV/f.u. The formation energy without anion corrections comes out at -296 meV per atom.